Arrangement 1

First-principles (PBE) data for an optimized crystal structure of PrErHf, as listed in Alexandria.

- symmetry = P2_1/m (11)
- crystal system = monoclinic

abc: 3.3916 4.6346 11.1320
angles: 90.00 98.54 90.00
Last column: nearest neighbours and their distance in Å.
Atoms (fractional coordinates):
1 Pr 0.0582 0.2500 0.1048  4 Pr 3.27-3.39, 4 Er 3.47, 1 Hf 3.64
2 Pr 0.9418 0.7500 0.8952  4 Pr 3.27-3.39, 4 Er 3.47, 1 Hf 3.64
3 Er 0.3570 0.2500 0.7181  5 Hf 3.12-3.33, 2 Er 3.39, 4 Pr 3.47
4 Er 0.6430 0.7500 0.2819  5 Hf 3.12-3.33, 2 Er 3.39, 4 Pr 3.47
5 Hf 0.2191 0.2500 0.4351  5 Er 3.12-3.33, 6 Hf 3.21-3.39
6 Hf 0.7809 0.7500 0.5649  5 Er 3.12-3.33, 6 Hf 3.21-3.39

***

Arrangement 2

First-principles (PBE) data for an optimized crystal structure of PrErHf, as listed in Alexandria.

- symmetry = P4/nmm (129)
- crystal system = tetragonal

abc: 4.6933 4.6933 8.3350
angles: 90.00 90.00 90.00
Last column: nearest neighbours and their distance in Å.
Atoms (fractional coordinates):
1 Pr 0.2500 0.2500 0.2038  5 Er 3.32-3.60, 4 Hf 3.41
2 Pr 0.7500 0.7500 0.7962  5 Er 3.32-3.60, 4 Hf 3.41
3 Er 0.2500 0.2500 0.7721  4 Hf 3.26, 5 Pr 3.32-3.60
4 Er 0.7500 0.7500 0.2279  4 Hf 3.26, 5 Pr 3.32-3.60
5 Hf 0.2500 0.7500 0.5000  4 Er 3.26, 4 Hf 3.32, 4 Pr 3.41
6 Hf 0.7500 0.2500 0.5000  4 Er 3.26, 4 Hf 3.32, 4 Pr 3.41

***

Which of them is the most stable? Correct choice: arrangement 1.

***

Arrangement 1

First-principles (PBE) data for an optimized crystal structure of ErHfPt, as listed in Alexandria.

- symmetry = P2_1/c (14)
- crystal system = monoclinic

abc: 6.1442 7.0942 6.5542
angles: 90.00 96.42 90.00
Last column: nearest neighbours and their distance in Å.
Atoms (fractional coordinates):
1 Er 0.0948 0.2321 0.0017  4 Pt 2.84-2.93
2 Er 0.0948 0.2679 0.5017  4 Pt 2.84-2.93
3 Er 0.9052 0.7321 0.4983  4 Pt 2.84-2.93
4 Er 0.9052 0.7679 0.9983  4 Pt 2.84-2.93
5 Hf 0.3949 0.6057 0.2248  3 Pt 2.62-2.85
6 Hf 0.3949 0.8943 0.7248  3 Pt 2.62-2.85
7 Hf 0.6051 0.1057 0.2752  3 Pt 2.62-2.85
8 Hf 0.6051 0.3943 0.7752  3 Pt 2.62-2.85
9 Pt 0.2289 0.5617 0.8045  3 Hf 2.62-2.85, 4 Er 2.84-2.93
10 Pt 0.2289 0.9383 0.3045  3 Hf 2.62-2.85, 4 Er 2.84-2.93
11 Pt 0.7711 0.0617 0.6955  3 Hf 2.62-2.85, 4 Er 2.84-2.93
12 Pt 0.7711 0.4383 0.1955  3 Hf 2.62-2.85, 4 Er 2.84-2.93

***

Arrangement 2

First-principles (PBE) data for an optimized crystal structure of ErHfPt, as listed in Alexandria.

- symmetry = Amm2 (38)
- crystal system = orthorhombic

abc: 4.6670 7.0510 7.0510
angles: 120.14 90.00 90.00
Last column: nearest neighbours and their distance in Å.
Atoms (fractional coordinates):
1 Er 0.0000 0.0000 0.0000  5 Pt 2.91-3.16
2 Er 0.0000 0.4137 0.8269  5 Pt 2.91-3.16
3 Er 0.0000 0.8269 0.4137  5 Pt 2.91-3.16
4 Hf 0.5000 0.1594 0.4130  4 Pt 2.67-2.94
5 Hf 0.5000 0.4130 0.1594  4 Pt 2.67-2.94
6 Hf 0.5000 0.6672 0.6672  4 Pt 2.67-2.94
7 Pt 0.0000 0.4140 0.4140  3 Er 2.91, 6 Hf 2.94
8 Pt 0.5000 0.0797 0.7459  3 Hf 2.67
9 Pt 0.5000 0.7459 0.0797  3 Hf 2.67

***

Which of them is the most stable? Correct choice: arrangement 2.

***

Arrangement 1

First-principles (PBE) data for an optimized crystal structure of ErPuHf2, as listed in Alexandria.

- symmetry = P4/mmm (123)
- crystal system = tetragonal

abc: 4.5907 4.5907 4.6568
angles: 90.00 90.00 90.00
Last column: nearest neighbours and their distance in Å.
Atoms (fractional coordinates):
1 Er 0.0000 0.0000 0.0000  4 Pu 3.25, 8 Hf 3.27
2 Pu 0.5000 0.5000 0.0000  4 Er 3.25, 8 Hf 3.27
3 Hf 0.0000 0.5000 0.5000  4 Hf 3.25, 4 Er 3.27, 4 Pu 3.27
4 Hf 0.5000 0.0000 0.5000  4 Hf 3.25, 4 Er 3.27, 4 Pu 3.27

***

Arrangement 2

First-principles (PBE) data for an optimized crystal structure of ErPuHf2, as listed in Alexandria.

- symmetry = R-3m (166)
- crystal system = trigonal

abc: 10.8221 10.8221 10.8221
angles: 17.37 17.37 17.37
Last column: nearest neighbours and their distance in Å.
Atoms (fractional coordinates):
1 Er 0.0000 0.0000 0.0000  6 Er 3.27, 6 Hf 3.33
2 Pu 0.5000 0.5000 0.5000  6 Hf 3.20, 6 Pu 3.27
3 Hf 0.2476 0.2476 0.2476  3 Pu 3.20, 6 Hf 3.27, 3 Er 3.33
4 Hf 0.7524 0.7524 0.7524  3 Pu 3.20, 6 Hf 3.27, 3 Er 3.33

***

Arrangement 3

First-principles (PBE) data for an optimized crystal structure of ErPuHf2, as listed in Alexandria.

- symmetry = P4/mmm (123)
- crystal system = tetragonal

abc: 3.7594 3.7594 6.9815
angles: 90.00 90.00 90.00
Last column: nearest neighbours and their distance in Å.
Atoms (fractional coordinates):
1 Er 0.0000 0.0000 0.0000  8 Hf 3.31, 2 Pu 3.49
2 Pu 0.0000 0.0000 0.5000  8 Hf 3.06
3 Hf 0.5000 0.5000 0.2826  1 Hf 3.04, 4 Pu 3.06, 4 Er 3.31
4 Hf 0.5000 0.5000 0.7174  1 Hf 3.04, 4 Pu 3.06, 4 Er 3.31

***

Which of them is the most stable? Correct choice: arrangement 1.

***

Arrangement 1

First-principles (PBE) data for an optimized crystal structure of Er2PuHf, as listed in Alexandria.

- symmetry = R-3m (166)
- crystal system = trigonal

abc: 11.8777 11.8777 11.8777
angles: 16.05 16.05 16.05
Last column: nearest neighbours and their distance in Å.
Atoms (fractional coordinates):
1 Er 0.0926 0.0926 0.0926  3 Hf 3.23, 1 Pu 3.26, 6 Er 3.32
2 Er 0.9074 0.9074 0.9074  3 Hf 3.23, 1 Pu 3.26, 6 Er 3.32
3 Pu 0.0000 0.0000 0.0000  2 Er 3.26, 6 Pu 3.32
4 Hf 0.5000 0.5000 0.5000  6 Er 3.23, 6 Hf 3.32

***

Arrangement 2

First-principles (PBE) data for an optimized crystal structure of Er2PuHf, as listed in Alexandria.

- symmetry = R3m (160)
- crystal system = trigonal

abc: 11.1692 11.1692 11.1692
angles: 17.43 17.43 17.43
Last column: nearest neighbours and their distance in Å.
Atoms (fractional coordinates):
1 Er 0.0000 0.0000 0.0000  3 Hf 3.25, 6 Er 3.38, 3 Pu 3.49
2 Er 0.1581 0.1581 0.1581  3 Hf 3.27, 6 Er 3.38, 3 Pu 3.49
3 Pu 0.5791 0.5791 0.5791  6 Pu 3.38, 6 Er 3.49
4 Hf 0.7453 0.7453 0.7453  6 Er 3.25-3.27, 6 Hf 3.38

***

Which of them is the most stable? Correct choice: arrangement 2.

***

Arrangement 1

First-principles (PBE) data for an optimized crystal structure of ErHfRh2, as listed in Alexandria.

- symmetry = Fm-3m (225)
- crystal system = cubic

abc: 4.7083 4.7083 4.7083
angles: 60.00 60.00 60.00
Last column: nearest neighbours and their distance in Å.
Atoms (fractional coordinates):
1 Er 0.0000 0.0000 0.0000  8 Rh 2.88
2 Hf 0.5000 0.5000 0.5000  8 Rh 2.88
3 Rh 0.2500 0.2500 0.2500  4 Hf 2.88, 4 Er 2.88
4 Rh 0.7500 0.7500 0.7500  4 Hf 2.88, 4 Er 2.88

***

Arrangement 2

First-principles (PBE) data for an optimized crystal structure of ErHfRh2, as listed in Alexandria.

- symmetry = P4/mmm (123)
- crystal system = tetragonal

abc: 3.3057 3.3057 6.8067
angles: 90.00 90.00 90.00
Last column: nearest neighbours and their distance in Å.
Atoms (fractional coordinates):
1 Er 0.0000 0.0000 0.0000  8 Rh 2.99, 4 Er 3.31
2 Hf 0.0000 0.0000 0.5000  8 Rh 2.80
3 Rh 0.5000 0.5000 0.2728  4 Hf 2.80, 4 Er 2.99, 1 Rh 3.09
4 Rh 0.5000 0.5000 0.7272  4 Hf 2.80, 4 Er 2.99, 1 Rh 3.09

***

Which of them is the most stable? Correct choice: arrangement 2.